Density functional theory data (PBE) for TeRh2Se after structural relaxation.

```
TeRh2Se
1.0
2.886 -3.392 0.000
2.886 3.392 0.000
0.000 0.000 3.947
Te Rh Se
1 2 1
Cartesian
0.000 0.000 0.000
2.886 1.477 1.974
2.886 -1.477 1.974
2.886 0.000 0.000
```

## Properties
- Formation energy from raw total energies: 0.3 eV/f.u.
- Space group: Cmmm (65)
- Electronic total energy: -5.251 eV per atom
- Excess energy over the best structure of this formula in the dataset: 1.45 eV/f.u.
- Total moment: 0.0 Bohr magnetons per cell